No. 1
## SrCu2Se2 (PBE)

Data for a relaxed structure of SrCu2Se2. Values from VASP.

```
&SYSTEM
  ibrav = 0, nat = 20, ntyp = 3
/
ATOMIC_SPECIES
Cu 63.55 Cu.upf
Se 78.96 Se.upf
Sr 87.62 Sr.upf
CELL_PARAMETERS angstrom
9.6589 0.0000 0.0000
0.0000 4.1024 0.0000
0.0000 0.0000 10.5198
ATOMIC_POSITIONS angstrom
Cu 5.4948 1.0256 0.4550
Cu 9.1044 3.0768 0.9935
Cu 4.2750 3.0768 4.2664
Cu 0.6653 1.0256 4.8049
Cu 8.9935 3.0768 5.7149
Cu 5.3839 1.0256 6.2534
Cu 0.5544 1.0256 9.5263
Cu 4.1641 3.0768 10.0647
Se 7.9745 1.0256 0.2798
Se 5.0523 3.0768 1.9052
Se 0.2229 3.0768 3.3547
Se 3.1451 1.0256 4.9801
Se 6.5138 3.0768 5.5397
Se 9.4360 1.0256 7.1651
Se 4.6066 1.0256 8.6146
Se 1.6843 3.0768 10.2400
Sr 2.4465 1.0256 1.9702
Sr 7.2759 1.0256 3.2897
Sr 2.3830 3.0768 7.2301
Sr 7.2124 3.0768 8.5496
```

Computed properties:
Calculated total energy, eV per atom: -4.090

No. 2
## SrTbCuSe3 (PBE)

Data for a relaxed structure of SrTbCuSe3. Values from VASP.

```
&SYSTEM
  ibrav = 0, nat = 12, ntyp = 4
/
ATOMIC_SPECIES
Cu 63.55 Cu.upf
Se 78.96 Se.upf
Sr 87.62 Sr.upf
Tb 158.93 Tb.upf
CELL_PARAMETERS angstrom
-0.0593 -4.4577 8.2356
-1.8696 -7.1755 5.7198
7.4317 -2.0566 -3.1259
ATOMIC_POSITIONS angstrom
Cu 1.2691 -5.9685 5.5346
Cu 4.2337 -7.7214 5.2948
Se -0.9644 -5.8166 6.9777
Se 0.6573 -4.1335 3.9924
Se 1.3353 -8.5674 8.2945
Se 3.7158 -1.0283 -1.5630
Se 4.1675 -5.1225 2.5349
Se 4.8455 -9.5564 6.8370
Sr 0.2804 -1.6232 1.5518
Sr 5.2224 -12.0667 9.2776
Tb 1.4653 -10.5878 10.3836
Tb 4.0375 -3.1021 0.4458
```

Computed properties:
Calculated total energy, eV per atom: -4.886
Spin magnetization, μB per atom: 0.0001